[1]
A relaxed structure of Na6MgO4, computed with PBEsol.

a = 5.455 Å, b = 7.410 Å, c = 7.410 Å
α = 90.00°, β = 90.00°, γ = 90.00°
Element x y z (fractional)
Na (0.500, 0.288, 0.288)
Na (0.500, 0.712, 0.288)
Na (0.411, 0.000, 0.500)
Na (0.911, 0.000, 0.500)
Na (0.500, 0.288, 0.712)
Na (0.500, 0.712, 0.712)
Na (0.000, 0.788, 0.788)
Na (0.000, 0.212, 0.788)
Na (0.089, 0.500, 0.000)
Na (0.589, 0.500, 0.000)
Na (0.000, 0.788, 0.212)
Na (0.000, 0.212, 0.212)
Mg (0.000, 0.500, 0.500)
Mg (0.500, 0.000, 0.000)
O (0.682, 0.000, 0.242)
O (0.182, 0.742, 0.500)
O (0.182, 0.258, 0.500)
O (0.682, 0.000, 0.758)
O (0.818, 0.500, 0.742)
O (0.318, 0.758, 0.000)
O (0.318, 0.242, 0.000)
O (0.818, 0.500, 0.258)

uncorrected formation energy	-1458	meV/atom
SG	P4_2/nmc

[2]
A relaxed structure of CaScSe, computed with PBEsol.

a = 3.790 Å, b = 3.790 Å, c = 6.300 Å
α = 90.00°, β = 90.00°, γ = 120.00°
Element x y z (fractional)
Sc (0.333, 0.667, 0.592)
Ca (0.000, 0.000, 0.055)
Se (0.667, 0.333, 0.353)

uncorrected formation energy	-1046	meV/atom
excess energy over the best structure of this formula in the dataset	0.0	kJ/mol of formula units
SG	P3m1

[3]
A relaxed structure of Mg2ZnIr2, computed with PBEsol.

a = 4.040 Å, b = 6.379 Å, c = 6.379 Å
α = 90.00°, β = 90.00°, γ = 90.00°
Element x y z (fractional)
Zn (0.000, 0.000, 0.000)
Zn (0.000, 0.500, 0.500)
Ir (0.000, 0.362, 0.862)
Ir (0.000, 0.862, 0.638)
Ir (0.000, 0.638, 0.138)
Ir (0.000, 0.138, 0.362)
Mg (0.500, 0.166, 0.666)
Mg (0.500, 0.666, 0.834)
Mg (0.500, 0.834, 0.334)
Mg (0.500, 0.334, 0.166)

DFT total energy	-5.167	eV per atom
SG	P4/mbm

[4]
A relaxed structure of BaBeRe2, computed with PBEsol.

a = 3.816 Å, b = 4.185 Å, c = 5.619 Å
α = 90.00°, β = 104.58°, γ = 90.00°
Element x y z (fractional)
Re (0.801, 0.000, 0.628)
Re (0.199, 0.000, 0.372)
Ba (0.500, 0.500, 0.000)
Be (0.000, 0.500, 0.500)

DFT total energy	-7.296	eV per atom
SG	P2/m

[5]
A relaxed structure of CuNi2Ir, computed with PBEsol.

a = 2.570 Å, b = 4.374 Å, c = 4.374 Å
α = 109.02°, β = 90.00°, γ = 90.00°
Element x y z (fractional)
Ni (0.000, 0.500, 0.000)
Ni (0.000, 0.000, 0.500)
Ir (0.500, 0.500, 0.500)
Cu (0.500, 0.000, 0.000)

DFT total energy	-6.591	eV per atom
SG	Cmmm

[6]
A relaxed structure of Ta2CdSi, computed with PBEsol.

a = 3.623 Å, b = 4.593 Å, c = 5.010 Å
α = 117.28°, β = 111.20°, γ = 90.00°
Element x y z (fractional)
Cd (0.500, 0.000, 0.000)
Si (0.000, 0.500, 0.000)
Ta (0.727, 0.727, 0.453)
Ta (0.273, 0.273, 0.547)

uncorrected formation energy	71	meV/atom
SG	Immm

Number 1: total magnetic moment 0.3 Bohr magnetons per cell. Number 2: total magnetic moment 0.0 Bohr magnetons per cell. Number 3: total magnetic moment 0.0 Bohr magnetons per cell. Number 4: total magnetic moment 0.0 Bohr magnetons per cell. Number 5: total magnetic moment 0.0 Bohr magnetons per cell. Number 6: total magnetic moment 0.0 Bohr magnetons per cell.